VASP calculation (GGA-PBE) on crystalline Rb2ZnCdI6 at its relaxed geometry.

Calculated values
The excess energy over the best structure of this formula in the dataset comes out at 0.000 eV/atom. Its uncorrected formation energy is -921 meV per atom. As for the symmetry: P1. Its crystal system is triclinic.

The structure in extended XYZ format:
```
10
Lattice="-0.3094 -7.9153 2.8015 4.6903 -2.3157 6.5826 -5.3343 -1.1446 8.7728" Properties=species:S:1:pos:R:3 pbc="T T T"
Rb -4.8006 -1.3226 8.3283
Rb 0.1850 -5.9080 8.5284
I -3.4697 -6.7223 8.9398
I -1.6175 -2.7730 9.5831
I -0.5623 -6.1519 12.2114
I 1.2737 -9.4783 8.6038
I -0.4410 -5.3766 4.8885
I 3.4179 -4.1121 9.0303
Cd -0.3258 -8.6585 13.2924
Zn 0.0096 -2.9302 4.3364
```

VASP calculation (GGA-PBE) on crystalline Sc2CdReI at its relaxed geometry.

Calculated values
Its uncorrected formation energy is 1049 meV per atom. As for the symmetry: P4/mmm. Its crystal system is tetragonal.

The structure in extended XYZ format:
```
5
Lattice="-0.8468 4.0682 -3.1751 -4.5570 0.3662 1.6846 1.6453 3.2624 3.7413" Properties=species:S:1:pos:R:3 pbc="T T T"
Sc -0.4234 2.0341 -1.5875
Sc 0.8226 1.6312 1.8707
Re -2.2785 0.1831 0.8423
I 0.0000 0.0000 0.0000
Cd -1.8793 3.8484 1.1254
```

VASP calculation (GGA-PBE) on crystalline SrCdRe2I at its relaxed geometry.

Calculated values
Its uncorrected formation energy is 1812 meV per atom. As for the symmetry: P4/mmm. Its crystal system is tetragonal.

The structure in extended XYZ format:
```
5
Lattice="4.9365 0.0000 0.0000 0.0000 5.7872 0.0000 0.0000 0.0000 4.9365" Properties=species:S:1:pos:R:3 pbc="T T T"
Re 2.4683 0.0000 0.0000
Re 0.0000 0.0000 2.4683
Cd 0.0000 2.8936 0.0000
I 0.0000 0.0000 0.0000
Sr 2.4683 2.8936 2.4683
```

VASP calculation (GGA-PBE) on crystalline CdRe2TcI at its relaxed geometry.

Calculated values
Its uncorrected formation energy is 3248 meV per atom. As for the symmetry: P4/mmm. Its crystal system is tetragonal.

The structure in extended XYZ format:
```
5
Lattice="5.0874 0.0000 0.0000 0.0000 5.6176 0.0000 0.0000 0.0000 5.0874" Properties=species:S:1:pos:R:3 pbc="T T T"
Re 0.0000 0.0000 2.5437
Re 2.5437 0.0000 0.0000
I 0.0000 2.8088 0.0000
Cd 0.0000 0.0000 0.0000
Tc 2.5437 2.8088 2.5437
```

VASP calculation (GGA-PBE) on crystalline CdReTe2I at its relaxed geometry.

Calculated values
The excess energy over the best structure of this formula in the dataset comes out at 0.000 eV/atom. Its uncorrected formation energy is 563 meV per atom. As for the symmetry: P4/mmm. Its crystal system is tetragonal.

The structure in extended XYZ format:
```
5
Lattice="-4.4225 2.7059 0.0527 -1.8848 -3.1517 3.6603 2.1981 3.5117 4.1556" Properties=species:S:1:pos:R:3 pbc="T T T"
Re 0.0000 0.0000 0.0000
Te -2.2113 1.3529 0.0263
Te -0.9424 -1.5759 1.8301
Cd -2.0546 1.5329 3.9343
I 1.0990 1.7559 2.0778
```

VASP calculation (GGA-PBE) on crystalline CdReTe2I at its relaxed geometry.

Calculated values
The excess energy over the best structure of this formula in the dataset comes out at 0.918 eV/atom. Its uncorrected formation energy is 1481 meV per atom. As for the symmetry: P4/mmm. Its crystal system is tetragonal.

The structure in extended XYZ format:
```
5
Lattice="5.6244 0.0000 0.0000 0.0000 5.7900 0.0000 0.0000 0.0000 5.6244" Properties=species:S:1:pos:R:3 pbc="T T T"
Re 2.8122 2.8950 2.8122
Te 2.8122 0.0000 0.0000
Te 0.0000 0.0000 2.8122
I 0.0000 2.8950 0.0000
Cd 0.0000 0.0000 0.0000
```

VASP calculation (GGA-PBE) on crystalline TiCd2ReI at its relaxed geometry.

Calculated values
Its uncorrected formation energy is 2045 meV per atom. As for the symmetry: P4/mmm. Its crystal system is tetragonal.

The structure in extended XYZ format:
```
5
Lattice="-3.2629 -3.7498 -2.3059 3.7324 -3.8784 1.0256 -2.0610 -0.8477 4.2949" Properties=species:S:1:pos:R:3 pbc="T T T"
Cd 1.8662 -1.9392 0.5128
Cd -1.6315 -1.8749 -1.1529
Re -1.0305 -0.4238 2.1474
Ti -0.7958 -4.2379 1.5073
I 0.0000 0.0000 0.0000
```

VASP calculation (GGA-PBE) on crystalline YCdReI2 at its relaxed geometry.

Calculated values
Its uncorrected formation energy is 1386 meV per atom. As for the symmetry: P4/mmm. Its crystal system is tetragonal.

The structure in extended XYZ format:
```
5
Lattice="-2.3091 -4.9894 1.3141 4.3474 -2.8263 -3.0917 3.1703 -0.2363 4.6739" Properties=species:S:1:pos:R:3 pbc="T T T"
I -1.1546 -2.4947 0.6570
I 1.5852 -0.1181 2.3370
Cd 0.0000 0.0000 0.0000
Y 2.1737 -1.4131 -1.5458
Re 2.6043 -4.0259 1.4482
```

VASP calculation (GGA-PBE) on crystalline CdRhI3 at its relaxed geometry.

Calculated values
The excess energy over the best structure of this formula in the dataset comes out at 0.000 eV/atom. Its uncorrected formation energy is 79 meV per atom. As for the symmetry: Pm-3m. Its crystal system is cubic.

The structure in extended XYZ format:
```
5
Lattice="-4.5822 0.0850 -2.9334 2.6351 -2.2746 -4.1822 -1.2916 -4.9424 1.8743" Properties=species:S:1:pos:R:3 pbc="T T T"
I -2.2911 0.0425 -1.4667
I -0.6458 -2.4712 0.9371
I 1.3176 -1.1373 -2.0911
Rh 0.0000 0.0000 0.0000
Cd -1.6193 -3.5660 -2.6206
```

VASP calculation (GGA-PBE) on crystalline CdRh2I2 at its relaxed geometry.

Calculated values
The excess energy over the best structure of this formula in the dataset comes out at 0.268 eV/atom. Its uncorrected formation energy is 581 meV per atom. As for the symmetry: P4/mbm. Its crystal system is tetragonal.

The structure in extended XYZ format:
```
10
Lattice="-3.7082 6.3458 3.3985 -3.0545 -4.8488 5.7210 2.7517 0.5648 1.9478" Properties=species:S:1:pos:R:3 pbc="T T T"
Rh -2.6745 3.9415 5.6348
Rh -1.3365 -1.8796 5.4325
Rh -0.3637 1.4935 3.0802
Rh -3.6473 0.5683 7.9871
I -5.1392 2.2724 6.6011
I -3.9124 -1.8964 6.0769
I -2.8503 3.3934 3.0426
I -1.6235 -0.7754 2.5184
Cd 0.0000 0.0000 0.0000
Cd -3.3814 0.7485 4.5597
```

VASP calculation (GGA-PBE) on crystalline CdRh3I at its relaxed geometry.

Calculated values
The excess energy over the best structure of this formula in the dataset comes out at 0.000 eV/atom. Its uncorrected formation energy is 909 meV per atom. As for the symmetry: Pm-3m. Its crystal system is cubic.

The structure in extended XYZ format:
```
5
Lattice="-4.2294 -1.5869 1.7215 2.2473 -3.7485 2.0659 0.6567 2.6077 4.0173" Properties=species:S:1:pos:R:3 pbc="T T T"
Rh 0.3283 1.3039 2.0086
Rh 1.1237 -1.8743 1.0330
Rh -2.1147 -0.7935 0.8607
I 0.0000 0.0000 0.0000
Cd -0.6627 -1.3638 3.9023
```

VASP calculation (GGA-PBE) on crystalline CdRh2I2 at its relaxed geometry.

Calculated values
The excess energy over the best structure of this formula in the dataset comes out at 0.000 eV/atom. Its uncorrected formation energy is 312 meV per atom. As for the symmetry: I4/mmm. Its crystal system is tetragonal.

The structure in extended XYZ format:
```
5
Lattice="-3.1617 -2.4706 0.3825 2.4126 -2.8534 1.5113 -1.6952 0.1875 8.4352" Properties=species:S:1:pos:R:3 pbc="T T T"
I -1.6964 -3.2801 7.2651
I -0.7479 -1.8564 3.0639
Rh -2.6157 -2.4726 4.8823
Rh 0.1714 -2.6640 5.4467
Cd 0.0000 0.0000 0.0000
```

VASP calculation (GGA-PBE) on crystalline CdSbRhI2 at its relaxed geometry.

Calculated values
The excess energy over the best structure of this formula in the dataset comes out at 0.000 eV/atom. Its uncorrected formation energy is 174 meV per atom. As for the symmetry: P4/mmm. Its crystal system is tetragonal.

The structure in extended XYZ format:
```
5
Lattice="5.6307 0.0000 0.0000 0.0000 5.6307 0.0000 0.0000 0.0000 5.0231" Properties=species:S:1:pos:R:3 pbc="T T T"
Cd 2.8153 2.8153 2.5115
Sb 0.0000 0.0000 2.5115
I 0.0000 2.8153 0.0000
I 2.8153 0.0000 0.0000
Rh 0.0000 0.0000 0.0000
```

VASP calculation (GGA-PBE) on crystalline Cd2TcRhI at its relaxed geometry.

Calculated values
Its uncorrected formation energy is 675 meV per atom. As for the symmetry: P4/mmm. Its crystal system is tetragonal.

The structure in extended XYZ format:
```
5
Lattice="-0.1338 -1.2534 5.1176 4.6961 0.5814 0.2652 -0.6979 5.0783 1.2255" Properties=species:S:1:pos:R:3 pbc="T T T"
Cd -0.0669 -0.6267 2.5588
Cd -0.3490 2.5392 0.6128
Rh 0.0000 0.0000 0.0000
I 1.9322 2.2032 3.3041
Tc 2.3481 0.2907 0.1326
```

VASP calculation (GGA-PBE) on crystalline CdTe2RhI at its relaxed geometry.

Calculated values
The excess energy over the best structure of this formula in the dataset comes out at 0.000 eV/atom. Its uncorrected formation energy is 226 meV per atom. As for the symmetry: P4/mmm. Its crystal system is tetragonal.

The structure in extended XYZ format:
```
5
Lattice="-3.4878 3.6996 1.3152 -2.4009 -0.6176 -4.6299 -3.2638 -3.8617 2.2076" Properties=species:S:1:pos:R:3 pbc="T T T"
Te -1.2005 -0.3088 -2.3149
Te -1.7439 1.8498 0.6576
Cd -4.5763 -0.3898 -0.5535
I -1.6319 -1.9308 1.1038
Rh 0.0000 0.0000 0.0000
```

VASP calculation (GGA-PBE) on crystalline TiCd2RhI at its relaxed geometry.

Calculated values
Its uncorrected formation energy is 1338 meV per atom. As for the symmetry: P4/mmm. Its crystal system is tetragonal.

The structure in extended XYZ format:
```
5
Lattice="5.6138 0.0000 0.0000 0.0000 4.8360 0.0000 0.0000 0.0000 5.6138" Properties=species:S:1:pos:R:3 pbc="T T T"
I 0.0000 0.0000 0.0000
Rh 0.0000 2.4180 0.0000
Cd 2.8069 0.0000 0.0000
Cd 0.0000 0.0000 2.8069
Ti 2.8069 2.4180 2.8069
```

VASP calculation (GGA-PBE) on crystalline YCdRh2I at its relaxed geometry.

Calculated values
Its uncorrected formation energy is 668 meV per atom. As for the symmetry: P4/mmm. Its crystal system is tetragonal.

The structure in extended XYZ format:
```
5
Lattice="5.0433 0.0000 0.0000 0.0000 5.7665 0.0000 0.0000 0.0000 5.0433" Properties=species:S:1:pos:R:3 pbc="T T T"
Cd 2.5217 2.8833 2.5217
Y 0.0000 0.0000 0.0000
Rh 2.5217 0.0000 0.0000
Rh 0.0000 0.0000 2.5217
I 0.0000 2.8833 0.0000
```

VASP calculation (GGA-PBE) on crystalline CdRu2I at its relaxed geometry.

Calculated values
The excess energy over the best structure of this formula in the dataset comes out at 0.000 eV/atom. Its uncorrected formation energy is 830 meV per atom. As for the symmetry: Fm-3m. Its crystal system is cubic.

The structure in extended XYZ format:
```
4
Lattice="0.0000 3.2793 3.2793 3.2793 0.0000 3.2793 3.2793 3.2793 0.0000" Properties=species:S:1:pos:R:3 pbc="T T T"
I 3.2793 3.2793 3.2793
Cd 0.0000 0.0000 0.0000
Ru 1.6397 1.6397 1.6397
Ru 4.9190 4.9190 4.9190
```

VASP calculation (GGA-PBE) on crystalline Cd2Ru2I at its relaxed geometry.

Calculated values
The excess energy over the best structure of this formula in the dataset comes out at 0.000 eV/atom. Its uncorrected formation energy is 567 meV per atom. As for the symmetry: P4/mbm. Its crystal system is tetragonal.

The structure in extended XYZ format:
```
10
Lattice="6.8795 0.0000 0.0000 0.0000 6.8795 0.0000 0.0000 0.0000 4.2222" Properties=species:S:1:pos:R:3 pbc="T T T"
Ru 2.4862 5.9260 0.0000
Ru 4.3933 0.9536 0.0000
Ru 0.9536 2.4862 0.0000
Ru 5.9260 4.3933 0.0000
Cd 2.3738 1.0660 2.1111
Cd 5.8135 2.3738 2.1111
Cd 1.0660 4.5058 2.1111
Cd 4.5058 5.8135 2.1111
I 3.4398 3.4398 0.0000
I 0.0000 0.0000 0.0000
```

VASP calculation (GGA-PBE) on crystalline Cd2Ru2I at its relaxed geometry.

Calculated values
The excess energy over the best structure of this formula in the dataset comes out at 0.234 eV/atom. Its uncorrected formation energy is 801 meV per atom. As for the symmetry: I4/mmm. Its crystal system is tetragonal.

The structure in extended XYZ format:
```
5
Lattice="-1.0904 -1.6434 3.4267 -2.1528 -2.6708 -1.9658 3.6451 -6.2065 0.4644" Properties=species:S:1:pos:R:3 pbc="T T T"
Cd 0.4666 -5.0034 2.3108
Cd -0.0646 -5.5171 -0.3855
I 0.0000 0.0000 0.0000
Ru 1.0567 -7.6202 1.2436
Ru -0.6548 -2.9004 0.6816
```